Version a
First-principles (PBE) data for crystalline Re4Hg3 at its relaxed geometry, as listed in Alexandria via LeMat-Bulk.

Results
N(E_F), states/eV/atom: 0.88

a = 5.213 Å, b = 5.213 Å, c = 5.257 Å
α = 90.00°, β = 90.00°, γ = 120.00°
Atoms (fractional coordinates):
Re 0.000 0.000 0.218
Re 0.000 0.000 0.782
Re 0.333 0.667 0.000
Re 0.667 0.333 0.000
Hg 0.000 0.500 0.500
Hg 0.500 0.000 0.500
Hg 0.500 0.500 0.500


Version b
First-principles (PBE) data for crystalline Re4Hg3 at its relaxed geometry, as listed in Alexandria via LeMat-Bulk.

Results
N(E_F), states/eV/atom: 0.50

a = 14.635 Å, b = 14.635 Å, c = 14.635 Å
α = 168.31°, β = 168.31°, γ = 16.56°
Atoms (fractional coordinates):
Re 0.077 0.077 0.000
Re 0.372 0.372 0.000
Re 0.628 0.628 0.000
Re 0.923 0.923 0.000
Hg 0.205 0.205 0.000
Hg 0.500 0.500 0.000
Hg 0.795 0.795 0.000


Tell me which of them is the most stable. Sure, it is version b.